w) First-principles (PBE) data for an optimized crystal structure of Co3Ni2Rh2, as listed in Alexandria.

N(E_F) (states/eV per cell): 9.8
M_tot (μB per formula unit): 8.45

abc: 3.620 4.459 5.800
angles: 82.76 89.99 66.07
Atoms (fractional coordinates):
Co (0.000, 0.000, 0.000)
Co (0.284, 0.430, 0.859)
Co (0.716, 0.570, 0.141)
Ni (0.147, 0.708, 0.426)
Ni (0.853, 0.292, 0.574)
Rh (0.428, 0.145, 0.279)
Rh (0.572, 0.855, 0.721)

x) First-principles (PBE) data for an optimized crystal structure of Co3Ni2Rh2, as listed in Alexandria.

N(E_F) (states/eV per cell): 9.5
M_tot (μB per formula unit): 8.06

abc: 5.658 5.658 6.297
angles: 110.13 110.13 26.68
Atoms (fractional coordinates):
Co (0.000, 0.000, 0.000)
Co (0.288, 0.288, 0.868)
Co (0.712, 0.712, 0.132)
Ni (0.422, 0.422, 0.270)
Ni (0.578, 0.578, 0.730)
Rh (0.138, 0.138, 0.424)
Rh (0.862, 0.862, 0.576)

Most stable: w). Least stable: x).

w) First-principles (PBE) data for an optimized crystal structure of Co3Ni3Rh2, as listed in Alexandria.

N(E_F) (states/eV per cell): 11.2
M_tot (μB per formula unit): 9.65

abc: 6.247 6.247 4.186
angles: 109.55 109.55 39.18
Atoms (fractional coordinates):
Co (0.000, 0.000, 0.000)
Co (0.114, 0.114, 0.613)
Co (0.886, 0.886, 0.387)
Ni (0.388, 0.388, 0.887)
Ni (0.500, 0.500, 0.500)
Ni (0.612, 0.612, 0.113)
Rh (0.251, 0.251, 0.250)
Rh (0.749, 0.749, 0.750)

x) First-principles (PBE) data for an optimized crystal structure of Co3Ni3Rh2, as listed in Alexandria.

N(E_F) (states/eV per cell): 13.7
M_tot (μB per formula unit): 9.53

abc: 4.138 10.328 4.472
angles: 90.00 90.00 90.00
Atoms (fractional coordinates):
Co (0.250, 0.001, 0.160)
Co (0.250, 0.499, 0.160)
Co (0.250, 0.750, 0.167)
Co (0.750, 0.250, 0.833)
Co (0.750, 0.501, 0.840)
Co (0.750, 0.999, 0.840)
Ni (0.250, 0.250, 0.157)
Ni (0.250, 0.630, 0.683)
Ni (0.250, 0.870, 0.683)
Ni (0.750, 0.130, 0.317)
Ni (0.750, 0.370, 0.317)
Ni (0.750, 0.750, 0.843)
Rh (0.250, 0.120, 0.658)
Rh (0.250, 0.380, 0.658)
Rh (0.750, 0.620, 0.342)
Rh (0.750, 0.880, 0.342)

Most stable: x). Least stable: w).